[1]
The following is a DFT calculation (PBE) of an optimized crystal structure of In2WCl2.

* formation energy without anion corrections: 0.58 eV per atom

a b c (Å): 7.9652 7.9652 4.4953
angles (deg): 90.00 90.00 90.00
Fractional positions:
In1 0.1958 0.3042 0.0000
In2 0.3042 0.8042 0.0000
In3 0.6958 0.1958 0.0000
In4 0.8042 0.6958 0.0000
W1 0.0000 0.0000 0.0000
W2 0.5000 0.5000 0.0000
Cl1 0.1494 0.6494 0.5000
Cl2 0.3506 0.1494 0.5000
Cl3 0.6494 0.8506 0.5000
Cl4 0.8506 0.3506 0.5000


[2]
The following is a DFT calculation (PBE) of an optimized crystal structure of Li2MoRh.

* energy of formation from the pure elements: 2.6 eV per formula unit

a b c (Å): 5.4357 5.4357 5.4357
angles (deg): 101.82 101.82 126.19
Fractional positions:
Li1 0.1078 0.1250 0.4828
Li2 0.3750 0.8922 0.0172
Li3 0.6422 0.6250 0.5172
Li4 0.8750 0.3578 0.9828
Mo1 0.2500 0.7500 0.5000
Mo2 0.5000 0.5000 0.0000
Rh1 0.0000 0.0000 0.0000
Rh2 0.7500 0.2500 0.5000


Number 1: relative energy among the computed polymorphs 0.0 meV/atom, density 5.640 g/cm³. Number 2: relative energy among the computed polymorphs 607.9 meV/atom, density 6.112 g/cm³.